# LuPu2Bi PBE optimized geometry
# offset from the most stable computed form: 0 meV per atom
# DFT formation energy: -0.93 eV per formula unit
# final energy: -0.3491 hartree per atom
data_LuPu2Bi
_symmetry_space_group_name_H-M 'P 4/m m m'
_symmetry_Int_Tables_number 123
_symmetry_space_group_name_Hall '-P 4 2'
_cell_length_a 4.5959
_cell_length_b 4.5959
_cell_length_c 5.1577
_cell_angle_alpha 90.00
_cell_angle_beta 90.00
_cell_angle_gamma 90.00
loop_
_atom_site_label
_atom_site_fract_x
_atom_site_fract_y
_atom_site_fract_z
Lu1 0.0000 0.0000 0.0000
Pu1 0.0000 0.5000 0.5000
Bi1 0.5000 0.5000 0.0000


# TaNi4Ir PBE optimized geometry
# DFT formation energy: -1.80 eV per formula unit
# final energy: -0.2796 hartree per atom
data_TaNi4Ir
_symmetry_space_group_name_H-M 'F -4 3 m'
_symmetry_Int_Tables_number 216
_symmetry_space_group_name_Hall 'F -4 2 3'
_cell_length_a 6.6594
_cell_length_b 6.6594
_cell_length_c 6.6594
_cell_angle_alpha 90.00
_cell_angle_beta 90.00
_cell_angle_gamma 90.00
loop_
_atom_site_label
_atom_site_fract_x
_atom_site_fract_y
_atom_site_fract_z
Ta1 0.0000 0.0000 0.0000
Ni1 0.1244 0.1244 0.3756
Ir1 0.2500 0.2500 0.7500


# Y2AlAgC PBE optimized geometry
# DFT formation energy: -1.47 eV per formula unit
# final energy: -0.2220 hartree per atom
data_Y2AlAgC
_symmetry_space_group_name_H-M 'P 4/m m m'
_symmetry_Int_Tables_number 123
_symmetry_space_group_name_Hall '-P 4 2'
_cell_length_a 5.0168
_cell_length_b 5.0168
_cell_length_c 3.9501
_cell_angle_alpha 90.00
_cell_angle_beta 90.00
_cell_angle_gamma 90.00
loop_
_atom_site_label
_atom_site_fract_x
_atom_site_fract_y
_atom_site_fract_z
Y1 0.0000 0.5000 0.0000
Al1 0.0000 0.0000 0.5000
Ag1 0.5000 0.5000 0.5000
C1 0.0000 0.0000 0.0000


# NpTl2O3F3 PBE optimized geometry
# final energy: -0.2302 hartree per atom
# ΔE_f (raw): -2.023 eV/atom
data_NpTl2O3F3
_symmetry_space_group_name_H-M 'P -6 2 m'
_symmetry_Int_Tables_number 189
_symmetry_space_group_name_Hall 'P -6 -2'
_cell_length_a 6.8931
_cell_length_b 6.8931
_cell_length_c 3.2875
_cell_angle_alpha 90.00
_cell_angle_beta 90.00
_cell_angle_gamma 120.00
loop_
_atom_site_label
_atom_site_fract_x
_atom_site_fract_y
_atom_site_fract_z
Np1 0.0000 0.0000 0.0000
Tl1 0.3333 0.6667 0.5000
O1 0.0000 0.7962 0.5000
F1 0.0000 0.3495 0.0000